# 1
Here is a relaxed structure of Pm2Cd5In from the Alexandria database. Energies are from PBE-GGA.

abc: 4.4060 9.4099 10.2251
angles: 90.00 90.00 103.54
With the nearest neighbours (Å) after each atom.
Sites, in units of the cell vectors:
Pm1 0.8100 0.6200 0.7500  11 Cd 3.29-3.62, 2 In 3.50
Pm2 0.1900 0.3800 0.2500  11 Cd 3.29-3.62, 2 In 3.50
Pm3 0.0000 0.0000 0.0000  4 Cd 3.36, 4 In 3.46
Pm4 0.0000 0.0000 0.5000  4 Cd 3.36, 4 In 3.46
Cd1 0.2023 0.4047 0.8970  6 Cd 2.85-3.14
Cd2 0.7977 0.5953 0.1030  6 Cd 2.85-3.14
Cd3 0.2023 0.4047 0.6030  6 Cd 2.85-3.14
Cd4 0.7977 0.5953 0.3970  6 Cd 2.85-3.14
Cd5 0.3627 0.7254 0.9700  4 Cd 2.85-3.03, 1 In 2.85
Cd6 0.6373 0.2746 0.0300  4 Cd 2.85-3.03, 1 In 2.85
Cd7 0.3627 0.7254 0.5300  4 Cd 2.85-3.03, 1 In 2.85
Cd8 0.6373 0.2746 0.4700  4 Cd 2.85-3.03, 1 In 2.85
Cd9 0.6122 0.2243 0.7500  1 In 2.81, 6 Cd 2.90-3.14
Cd10 0.3878 0.7757 0.2500  1 In 2.81, 6 Cd 2.90-3.14
In1 0.4584 0.9167 0.7500  3 Cd 2.81-2.85
In2 0.5416 0.0833 0.2500  3 Cd 2.81-2.85

Volume ... 25.76 Å³ per atom
DFT total energy ... -19.01 eV/f.u.
SG ... Cmcm, No. 63
Distance to the lowest polymorph of the same formula ... 0.0229 eV per atom


# 2
Here is a relaxed structure of CePmSmHg from the Alexandria database. Energies are from PBE-GGA.

abc: 5.4858 5.4858 5.4858
angles: 60.00 60.00 60.00
With the nearest neighbours (Å) after each atom.
Sites, in units of the cell vectors:
Ce1 0.7500 0.7500 0.7500  4 Hg 3.36, 4 Pm 3.36
Hg1 0.0000 0.0000 0.0000  4 Ce 3.36, 4 Sm 3.36
Sm1 0.2500 0.2500 0.2500  4 Hg 3.36, 4 Pm 3.36
Pm1 0.5000 0.5000 0.5000  4 Sm 3.36, 4 Ce 3.36

Volume ... 29.18 Å³ per atom
DFT total energy ... -15.78 eV/f.u.
SG ... F-43m, No. 216


# 3
Here is a relaxed structure of ZnSnPd2 from the Alexandria database. Energies are from PBE-GGA.

abc: 3.3389 4.4497 4.4497
angles: 90.00 90.00 90.00
With the nearest neighbours (Å) after each atom.
Sites, in units of the cell vectors:
Zn1 0.5000 0.5000 0.5000  8 Pd 2.78
Sn1 0.5000 0.0000 0.0000  8 Pd 2.78
Pd1 0.0000 0.0000 0.5000  4 Sn 2.78, 4 Zn 2.78
Pd2 0.0000 0.5000 0.0000  4 Sn 2.78, 4 Zn 2.78

Volume ... 16.53 Å³ per atom
DFT total energy ... -17.49 eV/f.u.
SG ... P4/mmm, No. 123


# 4
Here is a relaxed structure of Ce2TiSe5 from the Alexandria database. Energies are from PBE-GGA.

abc: 5.5911 7.4159 13.0500
angles: 90.00 90.00 112.15
With the nearest neighbours (Å) after each atom.
Sites, in units of the cell vectors:
Ce1 0.8520 0.7039 0.4327  6 Se 2.84-3.01
Ce2 0.8520 0.7039 0.0673  6 Se 2.84-3.01
Ce3 0.1480 0.2961 0.5673  6 Se 2.84-3.01
Ce4 0.1480 0.2961 0.9327  6 Se 2.84-3.01
Ti1 0.8073 0.6145 0.7500  6 Se 2.53-2.83
Ti2 0.1927 0.3855 0.2500  6 Se 2.53-2.83
Se1 0.9490 0.8980 0.8742  1 Ti 2.53
Se2 0.9490 0.8980 0.6258  1 Ti 2.53
Se3 0.3095 0.6190 0.4118  1 Ti 2.65, 2 Ce 2.87
Se4 0.3095 0.6190 0.0882  1 Ti 2.65, 2 Ce 2.87
Se5 0.7236 0.4472 0.2500  2 Ti 2.83, 2 Ce 2.97
Se6 0.2764 0.5528 0.7500  2 Ti 2.83, 2 Ce 2.97
Se7 0.6905 0.3810 0.5882  1 Ti 2.65, 2 Ce 2.87
Se8 0.6905 0.3810 0.9118  1 Ti 2.65, 2 Ce 2.87
Se9 0.0510 0.1020 0.1258  1 Ti 2.53
Se10 0.0510 0.1020 0.3742  1 Ti 2.53

Volume ... 31.32 Å³ per atom
ΔE_f (raw) ... -1.415 eV per atom
DFT total energy ... -48.50 eV/f.u.
SG ... Cmcm, No. 63
Distance to the lowest polymorph of the same formula ... 0.1336 eV per atom


# 5
Here is a relaxed structure of Pr2Ga4Co from the Alexandria database. Energies are from PBE-GGA.

abc: 4.5083 4.5083 8.3200
angles: 74.28 74.28 90.00
With the nearest neighbours (Å) after each atom.
Sites, in units of the cell vectors:
Pr1 0.6487 0.6487 0.7026  9 Ga 3.01-3.21
Pr2 0.3513 0.3513 0.2974  9 Ga 3.01-3.21
Co1 0.0000 0.0000 0.0000  6 Ga 2.25-2.39
Ga1 0.8447 0.8447 0.3105  1 Co 2.39
Ga2 0.1553 0.1553 0.6895  1 Co 2.39
Ga3 0.0000 0.5000 0.0000  2 Co 2.25
Ga4 0.5000 0.0000 0.0000  2 Co 2.25

Volume ... 22.31 Å³ per atom
DFT total energy ... -31.90 eV/f.u.
SG ... I4/mmm, No. 139


# 6
Here is a relaxed structure of MnCdBr2 from the Alexandria database. Energies are from PBE-GGA.

abc: 7.0994 7.0994 5.9447
angles: 65.37 65.37 29.17
With the nearest neighbours (Å) after each atom.
Sites, in units of the cell vectors:
Br1 0.9001 0.9001 0.0999  2 Mn 2.58
Br2 0.5999 0.5999 0.4001  2 Mn 2.58
Cd1 0.7500 0.7500 0.7500  4 Mn 3.47, 4 Br 3.50-3.51, 2 Cd 3.58
Mn1 0.2500 0.2500 0.2500  4 Br 2.58

Volume ... 32.95 Å³ per atom
ΔE_f (raw) ... -0.333 eV per atom
DFT total energy ... -14.76 eV/f.u.
SG ... C2/m, No. 12
Distance to the lowest polymorph of the same formula ... 0.1206 eV per atom


# 7
Here is a relaxed structure of BeCdBIrAu from the Alexandria database. Energies are from PBE-GGA.

abc: 3.4650 3.4650 7.1538
angles: 90.00 90.00 120.00
With the nearest neighbours (Å) after each atom.
Sites, in units of the cell vectors:
Be1 0.6667 0.3333 0.6526  3 B 2.23, 3 Ir 2.44, 3 Au 2.49
B1 0.0000 0.0000 0.7908  3 Ir 2.04, 3 Be 2.23
Ir1 0.3333 0.6667 0.8480  3 B 2.04
Au1 0.3333 0.6667 0.4457  3 Be 2.49
Cd1 0.0000 0.0000 0.1606  1 B 2.65, 3 Au 2.86

Volume ... 14.88 Å³ per atom
DFT total energy ... -23.98 eV/f.u.
SG ... P3m1, No. 156
Distance to the lowest polymorph of the same formula ... 0.0217 eV per atom


# 8
Here is a relaxed structure of Nd3BC3 from the Alexandria database. Energies are from PBE-GGA.

abc: 5.3952 7.2446 7.2446
angles: 120.00 90.00 90.00
With the nearest neighbours (Å) after each atom.
Sites, in units of the cell vectors:
Nd1 0.7500 0.7021 0.6365  2 C 2.40-2.46
Nd2 0.7500 0.3635 0.0657  2 C 2.40-2.46
Nd3 0.7500 0.9343 0.2979  2 C 2.40-2.46
Nd4 0.2500 0.2979 0.3635  2 C 2.40-2.46
Nd5 0.2500 0.6365 0.9343  2 C 2.40-2.46
Nd6 0.2500 0.0657 0.7021  2 C 2.40-2.46
B1 0.2500 0.6667 0.3333  3 C 1.67
B2 0.7500 0.3333 0.6667  3 C 1.67
C1 0.2500 0.6889 0.5745  1 B 1.67
C2 0.2500 0.4255 0.1144  1 B 1.67
C3 0.2500 0.8856 0.3111  1 B 1.67
C4 0.7500 0.3111 0.4255  1 B 1.67
C5 0.7500 0.5745 0.8856  1 B 1.67
C6 0.7500 0.1144 0.6889  1 B 1.67

Volume ... 17.52 Å³ per atom
DFT total energy ... -49.30 eV/f.u.
SG ... P6_3/m, No. 176


# 9
Here is a relaxed structure of TiMnPOsS from the Alexandria database. Energies are from PBE-GGA.

abc: 5.3583 3.0942 9.5491
angles: 90.00 94.47 90.00
With the nearest neighbours (Å) after each atom.
Sites, in units of the cell vectors:
Ti1 0.7980 0.0000 0.1251  2 S 2.44, 1 Os 2.47, 2 P 2.54
Ti2 0.7980 0.5000 0.6251  2 S 2.44, 1 Os 2.47, 2 P 2.54
Mn1 0.2365 0.0000 0.9962  2 P 2.32, 2 S 2.51
Mn2 0.2365 0.5000 0.4962  2 P 2.32, 2 S 2.51
P1 0.4283 0.0000 0.6496  2 Mn 2.32, 2 Os 2.36, 2 Ti 2.54
P2 0.4283 0.5000 0.1496  2 Mn 2.32, 2 Os 2.36, 2 Ti 2.54
Os1 0.1958 0.0000 0.2738  2 P 2.36, 1 S 2.40, 1 Ti 2.47, 2 Mn 2.62
Os2 0.1958 0.5000 0.7738  2 P 2.36, 1 S 2.40, 1 Ti 2.47, 2 Mn 2.62
S1 0.8752 0.0000 0.4354  1 Os 2.40, 2 Ti 2.44, 2 Mn 2.51
S2 0.8752 0.5000 0.9354  1 Os 2.40, 2 Ti 2.44, 2 Mn 2.51

Volume ... 15.78 Å³ per atom
ΔE_f (raw) ... -0.341 eV per atom
DFT total energy ... -39.53 eV/f.u.
SG ... Cm, No. 8
Distance to the lowest polymorph of the same formula ... 0.1908 eV per atom


# 10
Here is a relaxed structure of Y4MgRh2 from the Alexandria database. Energies are from PBE-GGA.

abc: 7.3682 7.1795 9.1675
angles: 127.09 106.47 84.20
With the nearest neighbours (Å) after each atom.
Sites, in units of the cell vectors:
Y1 0.9367 0.0070 0.1962  1 Rh 2.68
Y2 0.3941 0.6299 0.2563  3 Rh 2.73-2.92
Y3 0.8172 0.6716 0.7013  1 Rh 2.70
Y4 0.8640 0.0870 0.6106  3 Rh 2.75-2.86
Y5 0.4387 0.2358 0.4027  3 Rh 2.74-2.92
Y6 0.3996 0.1488 0.7660  2 Rh 2.86-2.88, 1 Mg 3.13
Y7 0.3588 0.7201 0.8911  4 Rh 2.70-2.91
Y8 0.8249 0.4573 0.1142  4 Rh 2.75-3.01, 1 Mg 3.05
Mg1 0.1327 0.6266 0.4965  7 Y 3.13-3.41
Mg2 0.1510 0.1530 0.9934  2 Rh 2.86-2.93, 4 Y 3.04-3.13
Rh1 0.6540 0.4563 0.7994  6 Y 2.70-2.92, 1 Rh 3.00
Rh2 0.6416 0.8567 0.2272  6 Y 2.68-2.84
Rh3 0.5574 0.1823 0.1079  1 Mg 2.86, 6 Y 2.87-3.05, 1 Rh 3.07
Rh4 0.0794 0.5176 0.9370  6 Y 2.86-3.12, 1 Mg 2.93, 1 Rh 3.00

Volume ... 26.39 Å³ per atom
DFT total energy ... -45.12 eV/f.u.
SG ... P1, No. 1


# 11
Here is a relaxed structure of YP3Pt from the Alexandria database. Energies are from PBE-GGA.

abc: 4.7293 4.7293 4.7293
angles: 90.00 90.00 90.00
With the nearest neighbours (Å) after each atom.
Sites, in units of the cell vectors:
Y1 0.5000 0.5000 0.5000  12 P 3.34
P1 0.0000 0.5000 0.0000  2 Pt 2.36
P2 0.0000 0.0000 0.5000  2 Pt 2.36
P3 0.5000 0.0000 0.0000  2 Pt 2.36
Pt1 0.0000 0.0000 0.0000  6 P 2.36

Volume ... 21.16 Å³ per atom
DFT total energy ... -28.53 eV/f.u.
SG ... Pm-3m, No. 221
Distance to the lowest polymorph of the same formula ... 0.0000 eV per atom


# 12
Here is a relaxed structure of Mn2Al2Zn from the Alexandria database. Energies are from PBE-GGA.

abc: 7.0679 7.0679 2.8623
angles: 90.00 90.00 90.00
With the nearest neighbours (Å) after each atom.
Sites, in units of the cell vectors:
Zn1 0.0000 0.0000 0.0000  4 Al 2.76, 2 Zn 2.86, 8 Mn 3.00
Zn2 0.5000 0.5000 0.0000  4 Al 2.76, 2 Zn 2.86, 8 Mn 3.00
Mn1 0.1657 0.6657 0.5000  6 Al 2.48-2.55
Mn2 0.6657 0.8343 0.5000  6 Al 2.48-2.55
Mn3 0.8343 0.3343 0.5000  6 Al 2.48-2.55
Mn4 0.3343 0.1657 0.5000  6 Al 2.48-2.55
Al1 0.3683 0.8683 0.0000  6 Mn 2.48-2.55, 1 Al 2.63, 2 Zn 2.76
Al2 0.8683 0.6317 0.0000  6 Mn 2.48-2.55, 1 Al 2.63, 2 Zn 2.76
Al3 0.6317 0.1317 0.0000  6 Mn 2.48-2.55, 1 Al 2.63, 2 Zn 2.76
Al4 0.1317 0.3683 0.0000  6 Mn 2.48-2.55, 1 Al 2.63, 2 Zn 2.76

Volume ... 14.30 Å³ per atom
DFT total energy ... -27.20 eV/f.u.
SG ... P4/mbm, No. 127
Distance to the lowest polymorph of the same formula ... 0.0000 eV per atom


# 13
Here is a relaxed structure of Pu2Ni12P3Pd from the Alexandria database. Energies are from PBE-GGA.

abc: 6.2389 6.2389 6.2389
angles: 83.05 83.05 83.05
With the nearest neighbours (Å) after each atom.
Sites, in units of the cell vectors:
Pu1 0.5944 0.5944 0.5944  1 Pu 2.27, 3 Ni 2.39
Pu2 0.4056 0.4056 0.4056  1 Pu 2.27, 3 Ni 2.39
Ni1 0.3576 0.3576 0.9390  2 P 2.30, 1 Ni 2.53
Ni2 0.8137 0.8137 0.3368  1 P 2.15, 1 Pu 2.39
Ni3 0.3368 0.8137 0.8137  1 P 2.15, 1 Pu 2.39
Ni4 0.9390 0.3576 0.3576  2 P 2.30, 1 Ni 2.53
Ni5 0.8137 0.3368 0.8137  1 P 2.15, 1 Pu 2.39
Ni6 0.3576 0.9390 0.3576  2 P 2.30, 1 Ni 2.53
Ni7 0.6424 0.6424 0.0610  2 P 2.30, 1 Ni 2.53
Ni8 0.1863 0.1863 0.6632  1 P 2.15, 1 Pu 2.39
Ni9 0.6632 0.1863 0.1863  1 P 2.15, 1 Pu 2.39
Ni10 0.0610 0.6424 0.6424  2 P 2.30, 1 Ni 2.53
Ni11 0.1863 0.6632 0.1863  1 P 2.15, 1 Pu 2.39
Ni12 0.6424 0.0610 0.6424  2 P 2.30, 1 Ni 2.53
P1 0.5000 0.0000 0.0000  6 Ni 2.15-2.30
P2 0.0000 0.5000 0.0000  6 Ni 2.15-2.30
P3 0.0000 0.0000 0.5000  6 Ni 2.15-2.30
Pd1 0.0000 0.0000 0.0000  6 Ni 2.50

Volume ... 13.22 Å³ per atom
DFT total energy ... -119.56 eV/f.u.
SG ... R-3m, No. 166


# 14
Here is a relaxed structure of MnCuP from the Alexandria database. Energies are from PBE-GGA.

abc: 2.7216 2.7216 5.7361
angles: 90.00 90.00 120.00
With the nearest neighbours (Å) after each atom.
Sites, in units of the cell vectors:
Cu1 0.0000 0.0000 0.9971  3 P 2.58, 3 Mn 2.62, 6 Cu 2.72
Mn1 0.3333 0.6667 0.3623  3 P 2.24
P1 0.6667 0.3333 0.6406  3 Mn 2.24

Volume ... 12.26 Å³ per atom
DFT total energy ... -18.36 eV/f.u.
SG ... P3m1, No. 156
Distance to the lowest polymorph of the same formula ... 0.3990 eV per atom


# 15
Here is a relaxed structure of ZrAg2Os from the Alexandria database. Energies are from PBE-GGA.

abc: 4.9195 2.7954 5.2886
angles: 77.01 90.00 90.00
With the nearest neighbours (Å) after each atom.
Sites, in units of the cell vectors:
Ag1 0.0000 0.0663 0.0106  5 Ag 2.72-2.94, 2 Os 2.87
Ag2 0.0000 0.4337 0.4894  5 Ag 2.72-2.94, 2 Os 2.87
Os1 0.5000 0.2500 0.2500  2 Zr 2.70, 2 Os 2.80, 4 Ag 2.87
Zr1 0.5000 0.7500 0.7500  2 Os 2.70, 2 Zr 2.80

Volume ... 17.72 Å³ per atom
DFT total energy ... -24.52 eV/f.u.
SG ... P2/m, No. 10
Distance to the lowest polymorph of the same formula ... 0.1675 eV per atom


# 16
Here is a relaxed structure of CeIrPd2 from the Alexandria database. Energies are from PBE-GGA.

abc: 4.6804 4.6804 4.6808
angles: 60.00 60.00 60.00
With the nearest neighbours (Å) after each atom.
Sites, in units of the cell vectors:
Ir1 0.0000 0.0000 0.0000  8 Pd 2.87
Pd1 0.7500 0.7500 0.7500  4 Ce 2.87, 4 Ir 2.87
Pd2 0.2500 0.2500 0.2500  4 Ce 2.87, 4 Ir 2.87
Ce1 0.5000 0.5000 0.5000  8 Pd 2.87

Volume ... 18.13 Å³ per atom
DFT total energy ... -26.82 eV/f.u.
SG ... Fm-3m, No. 225
Distance to the lowest polymorph of the same formula ... 0.2670 eV per atom


# 17
Here is a relaxed structure of CsIrRu2 from the Alexandria database. Energies are from PBE-GGA.

abc: 4.6978 4.6978 4.6978
angles: 60.00 60.00 60.00
With the nearest neighbours (Å) after each atom.
Sites, in units of the cell vectors:
Cs1 0.0000 0.0000 0.0000  8 Ru 2.88
Ru1 0.2500 0.2500 0.2500  4 Ir 2.88, 4 Cs 2.88
Ru2 0.7500 0.7500 0.7500  4 Ir 2.88, 4 Cs 2.88
Ir1 0.5000 0.5000 0.5000  8 Ru 2.88

Volume ... 18.33 Å³ per atom
DFT total energy ... -21.45 eV/f.u.
SG ... Fm-3m, No. 225


# 18
Here is a relaxed structure of LaEu2Zn from the Alexandria database. Energies are from PBE-GGA.

abc: 5.2202 4.9222 4.9222
angles: 90.00 90.00 90.00
With the nearest neighbours (Å) after each atom.
Sites, in units of the cell vectors:
Eu1 0.0000 0.0000 0.5000  4 Eu 3.48, 4 Zn 3.59, 4 La 3.59
Eu2 0.0000 0.5000 0.0000  4 Eu 3.48, 4 Zn 3.59, 4 La 3.59
Zn1 0.5000 0.5000 0.5000  4 La 3.48, 8 Eu 3.59
La1 0.5000 0.0000 0.0000  4 Zn 3.48, 8 Eu 3.59

Volume ... 31.62 Å³ per atom
DFT total energy ... -26.68 eV/f.u.
SG ... P4/mmm, No. 123
Distance to the lowest polymorph of the same formula ... 0.1062 eV per atom


# 19
Here is a relaxed structure of Mg2AlPt from the Alexandria database. Energies are from PBE-GGA.

abc: 4.7620 4.7620 4.7620
angles: 127.32 127.29 77.75
With the nearest neighbours (Å) after each atom.
Sites, in units of the cell vectors:
Al1 0.2502 0.7502 0.5000  4 Pt 2.81, 8 Mg 2.81-2.99
Mg1 0.0001 0.0001 0.0000  4 Mg 2.81, 4 Al 2.81, 4 Pt 2.99
Mg2 0.7499 0.2499 0.5000  4 Pt 2.81, 4 Mg 2.81, 4 Al 2.99
Pt1 0.4999 0.4999 0.0000  4 Al 2.81, 8 Mg 2.81-2.99

Volume ... 16.56 Å³ per atom
DFT total energy ... -15.19 eV/f.u.
SG ... I-4m2, No. 119


# 20
Here is a relaxed structure of LaMn4Mo from the Alexandria database. Energies are from PBE-GGA.

abc: 5.0490 5.0490 5.0490
angles: 60.00 60.00 60.00
With the nearest neighbours (Å) after each atom.
Sites, in units of the cell vectors:
La1 0.0000 0.0000 0.0000  12 Mn 2.96, 4 Mo 3.09
Mn1 0.8735 0.3755 0.3755  6 Mn 2.51-2.53
Mn2 0.3755 0.3755 0.8735  6 Mn 2.51-2.53
Mn3 0.3755 0.8735 0.3755  6 Mn 2.51-2.53
Mn4 0.3755 0.3755 0.3755  6 Mn 2.51-2.53
Mo1 0.7500 0.7500 0.7500  12 Mn 2.96, 4 La 3.09

Volume ... 15.17 Å³ per atom
DFT total energy ... -50.08 eV/f.u.
SG ... F-43m, No. 216